[1]
Computed, not measured: a geometry-optimized TlRuNF2 structure at the PBE level of DFT.

Structure (POSCAR):
```
TlRuNF2
1.0
-3.615 1.440 2.179
0.099 -3.643 2.571
2.188 1.788 2.449
Ru Tl N F
1 1 1 2
Direct
0.000 0.000 0.000 Ru
0.500 0.500 0.500 Tl
0.000 0.000 0.500 N
0.000 0.500 0.000 F
0.500 0.000 0.000 F
```

DFT total energy   -0.2008 Ha/atom
Raw formation energy   -721.2 meV per atom
E above lowest polymorph   0.0 meV per atom

---

[2]
Computed, not measured: a geometry-optimized TlRuN2F structure at the PBE level of DFT.

Structure (POSCAR):
```
TlRuN2F
1.0
-0.696 -2.686 -3.236
-3.179 -2.019 2.360
-2.896 2.684 -1.605
Ru Tl N F
1 1 2 1
Direct
0.500 0.500 0.500 Ru
0.000 0.000 0.000 Tl
0.000 0.000 0.500 N
0.500 0.000 0.000 N
0.000 0.500 0.000 F
```

DFT total energy   -0.1572 Ha/atom
Raw formation energy   1754.9 meV per atom
E above lowest polymorph   1574.7 meV per atom